Here is a relaxed RbTaBe crystal from the Alexandria database. Energies are from PBE.

Electronic total energy   -53.9 eV/cell
Volume   26.31 A^3/atom
ΔE_f   1026 meV per atom
Crystal system   orthorhombic
Energy relative to the lowest polymorph listed for this composition   1.726 eV/f.u.

abc: 16.275 6.366 3.048
angles: 90.00 90.00 90.00
Space group Pnma (No. 62)
Inequivalent atoms, fractional coordinates:
1 Rb 0.175 0.250 0.010
2 Ta 0.062 0.750 0.000
3 Be 0.000 0.000 0.500



Here is a relaxed La8Dy6Er crystal from the Alexandria database. Energies are from PBE.

Electronic total energy   -69.2 eV/cell
Volume   34.54 A^3/atom
ΔE_f   161 meV per atom
Crystal system   trigonal

abc: 9.4508 9.4508 6.6973
angles: 90.00 90.00 120.00
Space group P-3 (No. 147)
Inequivalent atoms, fractional coordinates:
1 La 0.0424 0.7501 0.3326
2 La 0.3333 0.6667 0.3805
3 Dy 0.0968 0.6615 0.8494
4 Er 0.0000 0.0000 0.0000



Here is a relaxed TlCdPt2 crystal from the Alexandria database. Energies are from PBE.

Electronic total energy   -30.8 eV/cell
Volume   19.04 A^3/atom
ΔE_f   -10 meV per atom
Crystal system   monoclinic

abc: 8.968 3.157 5.494
angles: 90.00 101.70 90.00
Space group C2/m (No. 12)
Inequivalent atoms, fractional coordinates:
1 Tl 0.000 0.000 0.000
2 Cd 0.000 0.500 0.500
3 Pt 0.248 0.000 0.738



Here is a relaxed SrSmAgSn crystal from the Alexandria database. Energies are from PBE.

Electronic total energy   -60.8 eV/cell
Volume   29.07 A^3/atom
ΔE_f   -486 meV per atom
Crystal system   cubic

abc: 7.748 7.748 7.748
angles: 90.00 90.00 90.00
Space group F-43m (No. 216)
Inequivalent atoms, fractional coordinates:
1 Sr 0.000 0.000 0.000
2 Sm 0.000 0.000 0.500
3 Ag 0.250 0.250 0.250
4 Sn 0.250 0.250 0.750



Here is a relaxed Al4AuCl crystal from the Alexandria database. Energies are from PBE.

Uncorrected formation energy   0.16 eV per atom
Electronic total energy   -76.5 eV/cell
Volume   19.36 A^3/atom
Crystal system   cubic

abc: 7.746 7.746 7.746
angles: 90.00 90.00 90.00
Space group F-43m (No. 216)
Inequivalent atoms, fractional coordinates:
1 Al 0.124 0.124 0.124
2 Au 0.250 0.250 0.750
3 Cl 0.000 0.000 0.500



Here is a relaxed KBe2 crystal from the Alexandria database. Energies are from PBE.

Electronic total energy   -12.7 eV/cell
Volume   18.11 A^3/atom
ΔE_f   738 meV per atom
Crystal system   tetragonal
Energy relative to the lowest polymorph listed for this composition   0.919 eV/f.u.

abc: 3.023 3.023 11.891
angles: 90.00 90.00 90.00
Space group I4/mmm (No. 139)
Inequivalent atoms, fractional coordinates:
1 K 0.000 0.000 0.000
2 Be 0.000 0.000 0.265



Here is a relaxed Dy2YTi crystal from the Alexandria database. Energies are from PBE.

Electronic total energy   -22.9 eV/cell
Volume   27.66 A^3/atom
ΔE_f   165 meV per atom
Crystal system   tetragonal
Energy relative to the lowest polymorph listed for this composition   0.000 eV/f.u.

abc: 3.415 3.415 9.485
angles: 90.00 90.00 90.00
Space group P4/mmm (No. 123)
Inequivalent atoms, fractional coordinates:
1 Dy 0.000 0.000 0.218
2 Y 0.500 0.500 0.500
3 Ti 0.500 0.500 0.000



Here is a relaxed KSb2Rh crystal from the Alexandria database. Energies are from PBE.

Uncorrected formation energy   0.08 eV per atom
Electronic total energy   -65.4 eV/cell
Volume   22.67 A^3/atom
Crystal system   cubic
Energy relative to the lowest polymorph listed for this composition   1.945 eV/f.u.

abc: 7.132 7.132 7.132
angles: 90.00 90.00 90.00
Space group Fm-3m (No. 225)
Inequivalent atoms, fractional coordinates:
1 K 0.000 0.000 0.000
2 Sb 0.250 0.250 0.250
3 Rh 0.000 0.000 0.500



Here is a relaxed Sn2Pd6Au crystal from the Alexandria database. Energies are from PBE.

Electronic total energy   -92.2 eV/cell
Volume   16.75 A^3/atom
ΔE_f   -404 meV per atom
Crystal system   tetragonal
Energy relative to the lowest polymorph listed for this composition   0.000 eV/f.u.

abc: 8.442 8.442 4.232
angles: 90.00 90.00 90.00
Space group P4_2/mnm (No. 136)
Inequivalent atoms, fractional coordinates:
1 Sn 0.190 0.190 0.000
2 Pd 0.015 0.333 0.500
3 Pd 0.148 0.852 0.000
4 Au 0.000 0.000 0.500



Here is a relaxed CeHoSc2Sb4 crystal from the Alexandria database. Energies are from PBE.

Uncorrected formation energy   -1.00 eV per atom
Electronic total energy   -47.7 eV/cell
Volume   28.07 A^3/atom
Crystal system   monoclinic

abc: 7.421 4.305 7.454
angles: 90.00 109.48 90.00
Space group P2/m (No. 10)
Inequivalent atoms, fractional coordinates:
1 Ce 0.000 0.000 0.000
2 Ho 0.000 0.500 0.500
3 Sc 0.500 0.000 0.500
4 Sc 0.500 0.500 0.000
5 Sb 0.266 0.000 0.752
6 Sb 0.269 0.500 0.260



Here is a relaxed KNbReSb2 crystal from the Alexandria database. Energies are from PBE.

Uncorrected formation energy   1.65 eV per atom
Electronic total energy   -23.6 eV/cell
Volume   36.45 A^3/atom
Crystal system   tetragonal

abc: 5.361 5.361 6.339
angles: 90.00 90.00 90.00
Space group P4/mmm (No. 123)
Inequivalent atoms, fractional coordinates:
1 K 0.000 0.000 0.000
2 Nb 0.000 0.000 0.500
3 Re 0.500 0.500 0.000
4 Sb 0.000 0.500 0.500



Here is a relaxed LiMg6Sc2 crystal from the Alexandria database. Energies are from PBE.

Electronic total energy   -47.6 eV/cell
Volume   23.40 A^3/atom
ΔE_f   41 meV per atom
Crystal system   orthorhombic
Energy relative to the lowest polymorph listed for this composition   0.042 eV/f.u.

abc: 3.069 8.793 15.609
angles: 90.00 90.00 90.00
Space group Immm (No. 71)
Inequivalent atoms, fractional coordinates:
1 Li 0.000 0.000 0.000
2 Mg 0.000 0.173 0.500
3 Mg 0.000 0.327 0.331
4 Sc 0.000 0.500 0.153